1.
MnNb2H4 | the Alexandria database | PBE-GGA | optimized geometry; uncorrected energy = -0.4495 Ry/atom; space-group type = No. 15; M_tot = 3.482 μB/f.u.; Fermi-level density of states = 0.314 states/eV per atom
1.0
-4.549 -3.454 -0.847
2.994 -4.442 2.156
-0.587 4.824 3.062
Mn Nb H
2 4 8
direct
0.250 0.750 0.500 Mn
0.000 0.000 0.000 Mn
0.625 0.375 0.750 Nb
0.625 0.875 0.250 Nb
0.625 0.375 0.250 Nb
0.125 0.375 0.750 Nb
0.868 0.129 0.257 H
0.382 0.621 0.243 H
0.873 0.611 0.743 H
0.871 0.132 0.743 H
0.389 0.127 0.257 H
0.377 0.139 0.757 H
0.379 0.618 0.757 H
0.861 0.623 0.243 H

***

2.
Y2BeNi | the Alexandria database | PBE-GGA | optimized geometry; uncorrected energy = -0.4273 Ry/atom; space-group type = No. 6; energy of formation from the pure elements = -0.82 eV/f.u.; M_tot = 0.000 μB/f.u.; Fermi-level density of states = 0.984 states/eV per atom
1.0
4.153 0.000 0.000
0.000 3.849 0.021
0.000 1.935 5.153
Y Ni Be
2 1 1
direct
0.000 0.983 0.909 Y
0.500 0.264 0.347 Y
0.500 0.570 0.734 Ni
0.000 0.683 0.510 Be

***

3.
Sc2FeCl | the Alexandria database | PBE-GGA | optimized geometry; uncorrected energy = -0.4678 Ry/atom; space-group type = No. 65; formation energy (no corrections) = -621 meV/atom; energy above the lowest structure with this stoichiometry = 0.085 eV/atom; M_tot = 0.000 μB/f.u.; Fermi-level density of states = 0.389 states/eV per atom
1.0
-0.420 0.071 -3.080
-2.295 -2.080 0.275
-4.899 5.511 0.795
Cl Fe Sc
1 1 2
direct
0.500 0.500 0.250 Cl
0.500 0.500 0.750 Fe
0.000 0.000 0.956 Sc
0.000 0.000 0.544 Sc

***

4.
Cr2CuTe | the Alexandria database | PBE-GGA | optimized geometry; uncorrected energy = -0.4450 Ry/atom; space-group type = No. 47; formation energy (no corrections) = 566 meV/atom; M_tot = 2.086 μB/f.u.; Fermi-level density of states = 1.276 states/eV per atom
1.0
3.410 0.000 0.000
0.000 3.424 -0.010
0.000 3.442 5.370
Cr Cu Te
2 1 1
direct
0.000 0.939 0.061 Cr
0.000 0.561 0.439 Cr
0.500 0.250 0.250 Cu
0.500 0.750 0.750 Te

***

5.
CdCu4 | the Alexandria database | PBE-GGA | optimized geometry; uncorrected energy = -0.1675 Ry/atom; space-group type = No. 221; energy of formation from the pure elements = 5.91 eV/f.u.; energy above the lowest structure with this stoichiometry = 1.123 eV/atom; M_tot = 0.000 μB/f.u.; Fermi-level density of states = 0.561 states/eV per atom
1.0
-2.725 2.462 3.012
2.912 -1.149 3.572
2.580 3.896 -0.851
Cu Cd
4 1
direct
0.000 0.000 0.000 Cu
0.500 0.000 0.500 Cu
0.000 0.500 0.500 Cu
0.500 0.500 0.000 Cu
0.500 0.500 0.500 Cd

***

6.
Mg6NbGa | the Alexandria database | PBE-GGA | optimized geometry; uncorrected energy = -0.2024 Ry/atom; space-group type = No. 38; energy of formation from the pure elements = 0.63 eV/f.u.; energy above the lowest structure with this stoichiometry = 0.003 eV/atom; M_tot = 0.000 μB/f.u.; Fermi-level density of states = 0.682 states/eV per atom
1.0
3.116 -5.402 0.000
3.116 5.402 0.000
0.000 0.000 4.855
Mg Nb Ga
6 1 1
direct
0.172 0.333 0.000 Mg
0.667 0.828 0.000 Mg
0.668 0.332 0.000 Mg
0.329 0.159 0.500 Mg
0.841 0.671 0.500 Mg
0.833 0.167 0.500 Mg
0.175 0.825 0.000 Nb
0.315 0.685 0.500 Ga